1.
Here is crystalline TiReW6 at its relaxed geometry from Alexandria via LeMat-Bulk. Energies are from PBE.

## Properties
SG ... Cmmm (65)
Calculated formation energy ... -0.092 eV/atom
M_tot ... 0.00 μB/f.u.

Cell lengths 6.3557, 8.9372, 4.4845 Å; angles 90.00, 90.00, 90.00 degrees
Closest atoms and distances in Å follow each position.
Sites, in units of the cell vectors:
Ti (0.0000, 0.0000, 0.0000)  8 W 2.74-2.75
Ti (0.5000, 0.5000, 0.0000)  8 W 2.74-2.75
Re (0.0000, 0.5000, 0.0000)  8 W 2.74-2.75
Re (0.5000, 0.0000, 0.0000)  8 W 2.74-2.75
W (0.0000, 0.2480, 0.5000)  8 W 2.73-2.75
W (0.0000, 0.7520, 0.5000)  8 W 2.73-2.75
W (0.2504, 0.0000, 0.5000)  4 W 2.73-2.75, 2 Re 2.75, 2 Ti 2.75
W (0.2500, 0.2500, 0.0000)  2 Re 2.74, 2 Ti 2.74, 4 W 2.75
W (0.2496, 0.5000, 0.5000)  4 W 2.73-2.75, 2 Re 2.75, 2 Ti 2.75
W (0.2500, 0.7500, 0.0000)  2 Ti 2.74, 2 Re 2.74, 4 W 2.75
W (0.5000, 0.2520, 0.5000)  8 W 2.73-2.75
W (0.5000, 0.7480, 0.5000)  8 W 2.73-2.75
W (0.7496, 0.0000, 0.5000)  4 W 2.73-2.75, 2 Re 2.75, 2 Ti 2.75
W (0.7500, 0.2500, 0.0000)  2 Re 2.74, 2 Ti 2.74, 4 W 2.75
W (0.7504, 0.5000, 0.5000)  4 W 2.73-2.75, 2 Re 2.75, 2 Ti 2.75
W (0.7500, 0.7500, 0.0000)  2 Re 2.74, 2 Ti 2.74, 4 W 2.75

---

2.
Here is crystalline TiRe4W2 at its relaxed geometry from Alexandria via LeMat-Bulk. Energies are from PBE.

## Properties
SG ... I4/mmm (139)
Calculated formation energy ... 0.333 eV/atom
M_tot ... 0.00 μB/f.u.

Cell lengths 6.1820, 6.1820, 6.1276 Å; angles 90.00, 90.00, 90.00 degrees
Closest atoms and distances in Å follow each position.
Sites, in units of the cell vectors:
Ti (0.0000, 0.0000, 0.0000)  8 Re 2.67
Ti (0.5000, 0.5000, 0.5000)  8 Re 2.67
Re (0.2500, 0.2500, 0.2500)  4 W 2.67, 2 Ti 2.67
Re (0.2500, 0.2500, 0.7500)  4 W 2.67, 2 Ti 2.67
Re (0.2500, 0.7500, 0.2500)  4 W 2.67, 2 Ti 2.67
Re (0.2500, 0.7500, 0.7500)  4 W 2.67, 2 Ti 2.67
Re (0.7500, 0.2500, 0.2500)  4 W 2.67, 2 Ti 2.67
Re (0.7500, 0.2500, 0.7500)  4 W 2.67, 2 Ti 2.67
Re (0.7500, 0.7500, 0.2500)  4 W 2.67, 2 Ti 2.67
Re (0.7500, 0.7500, 0.7500)  4 W 2.67, 2 Ti 2.67
W (0.0000, 0.5000, 0.0000)  8 Re 2.67
W (0.0000, 0.5000, 0.5000)  8 Re 2.67
W (0.5000, 0.0000, 0.0000)  8 Re 2.67
W (0.5000, 0.0000, 0.5000)  8 Re 2.67

---

3.
Here is crystalline TiReW2 at its relaxed geometry from Alexandria via LeMat-Bulk. Energies are from PBE.

## Properties
Excess energy over the best structure of this formula in the dataset ... 0.960 eV per atom
SG ... I-42d (122)
Calculated formation energy ... 0.734 eV/atom
M_tot ... 0.00 μB/f.u.

Cell lengths 7.2473, 7.2473, 5.3143 Å; angles 90.00, 90.00, 90.00 degrees
Closest atoms and distances in Å follow each position.
Sites, in units of the cell vectors:
Ti (0.0000, 0.0000, 0.0000)  2 Re 2.66, 4 W 2.76
Ti (0.0000, 0.5000, 0.2500)  2 Re 2.66, 4 W 2.76
Ti (0.5000, 0.0000, 0.7500)  2 Re 2.66, 4 W 2.76
Ti (0.5000, 0.5000, 0.5000)  2 Re 2.66, 4 W 2.76
Re (0.0000, 0.0000, 0.5000)  4 W 2.54, 2 Ti 2.66
Re (0.0000, 0.5000, 0.7500)  4 W 2.54, 2 Ti 2.66
Re (0.5000, 0.0000, 0.2500)  4 W 2.54, 2 Ti 2.66
Re (0.5000, 0.5000, 0.0000)  4 W 2.54, 2 Ti 2.66
W (0.2278, 0.2500, 0.6250)  2 Re 2.54, 2 W 2.68, 2 Ti 2.76
W (0.2500, 0.7278, 0.8750)  2 Re 2.54, 2 W 2.68, 2 Ti 2.76
W (0.2500, 0.7722, 0.3750)  2 Re 2.54, 2 W 2.68, 2 Ti 2.76
W (0.2722, 0.2500, 0.1250)  2 Re 2.54, 2 W 2.68, 2 Ti 2.76
W (0.7278, 0.7500, 0.1250)  2 Re 2.54, 2 W 2.68, 2 Ti 2.76
W (0.7500, 0.2278, 0.3750)  2 Re 2.54, 2 W 2.68, 2 Ti 2.76
W (0.7500, 0.2722, 0.8750)  2 Re 2.54, 2 W 2.68, 2 Ti 2.76
W (0.7722, 0.7500, 0.6250)  2 Re 2.54, 2 W 2.68, 2 Ti 2.76

---

4.
Here is crystalline Ti3Re2W at its relaxed geometry from Alexandria via LeMat-Bulk. Energies are from PBE.

## Properties
Excess energy over the best structure of this formula in the dataset ... 0.113 eV per atom
SG ... C2/m (12)
Calculated formation energy ... -0.121 eV/atom
M_tot ... 0.00 μB/f.u.

Cell lengths 6.9886, 6.9886, 6.7782 Å; angles 96.13, 96.13, 36.88 degrees
Closest atoms and distances in Å follow each position.
Sites, in units of the cell vectors:
Ti (0.0741, 0.0741, 0.3557)  3 Re 2.63-2.68, 3 Ti 2.78-2.92, 1 W 2.91
Ti (0.3070, 0.3070, 0.5296)  2 Re 2.62-2.64, 5 Ti 2.68-2.81, 1 W 2.81
Ti (0.3895, 0.3895, 0.9299)  5 Re 2.66-2.75, 2 Ti 2.81-2.98
Ti (0.6105, 0.6105, 0.0701)  5 Re 2.66-2.75, 2 Ti 2.81-2.98
Ti (0.6930, 0.6930, 0.4704)  2 Re 2.62-2.64, 5 Ti 2.68-2.81, 1 W 2.81
Ti (0.9259, 0.9259, 0.6443)  3 Re 2.63-2.68, 3 Ti 2.78-2.92, 1 W 2.91
Re (0.2316, 0.2316, 0.1526)  5 Ti 2.63-2.75, 3 W 2.66-2.72
Re (0.4595, 0.4595, 0.3141)  5 Ti 2.62-2.74, 1 Re 2.63, 2 W 2.68
Re (0.5405, 0.5405, 0.6859)  5 Ti 2.62-2.74, 1 Re 2.63, 2 W 2.68
Re (0.7684, 0.7684, 0.8474)  5 Ti 2.63-2.75, 3 W 2.66-2.72
W (0.1498, 0.1498, 0.7760)  5 Re 2.66-2.72, 2 Ti 2.81-2.91
W (0.8502, 0.8502, 0.2240)  5 Re 2.66-2.72, 2 Ti 2.81-2.91

---

5.
Here is crystalline TiRe2W at its relaxed geometry from Alexandria via LeMat-Bulk. Energies are from PBE.

## Properties
Excess energy over the best structure of this formula in the dataset ... 1.025 eV per atom
SG ... I-42d (122)
Calculated formation energy ... 0.684 eV/atom
M_tot ... 0.00 μB/f.u.

Cell lengths 7.1197, 7.1197, 5.3258 Å; angles 90.00, 90.00, 90.00 degrees
Closest atoms and distances in Å follow each position.
Sites, in units of the cell vectors:
Ti (0.0000, 0.0000, 0.0000)  4 Re 2.66, 2 W 2.66
Ti (0.0000, 0.5000, 0.2500)  4 Re 2.66, 2 W 2.66
Ti (0.5000, 0.0000, 0.7500)  4 Re 2.66, 2 W 2.66
Ti (0.5000, 0.5000, 0.5000)  4 Re 2.66, 2 W 2.66
Re (0.2396, 0.2500, 0.6250)  2 W 2.55, 2 Ti 2.66, 2 Re 2.67
Re (0.2500, 0.7396, 0.8750)  2 W 2.55, 2 Ti 2.66, 2 Re 2.67
Re (0.2500, 0.7604, 0.3750)  2 W 2.55, 2 Ti 2.66, 2 Re 2.67
Re (0.2604, 0.2500, 0.1250)  2 W 2.55, 2 Ti 2.66, 2 Re 2.67
Re (0.7396, 0.7500, 0.1250)  2 W 2.55, 2 Ti 2.66, 2 Re 2.67
Re (0.7500, 0.2396, 0.3750)  2 W 2.55, 2 Ti 2.66, 2 Re 2.67
Re (0.7500, 0.2604, 0.8750)  2 W 2.55, 2 Ti 2.66, 2 Re 2.67
Re (0.7604, 0.7500, 0.6250)  2 W 2.55, 2 Ti 2.66, 2 Re 2.67
W (0.0000, 0.0000, 0.5000)  4 Re 2.55, 2 Ti 2.66
W (0.0000, 0.5000, 0.7500)  4 Re 2.55, 2 Ti 2.66
W (0.5000, 0.0000, 0.2500)  4 Re 2.55, 2 Ti 2.66
W (0.5000, 0.5000, 0.0000)  4 Re 2.55, 2 Ti 2.66

---

6.
Here is crystalline TiReW14 at its relaxed geometry from Alexandria via LeMat-Bulk. Energies are from PBE.

## Properties
SG ... Cmmm (65)
Calculated formation energy ... -0.050 eV/atom
M_tot ... 0.00 μB/f.u.

Cell lengths 5.4991, 5.4991, 8.9922 Å; angles 90.00, 90.00, 109.19 degrees
Closest atoms and distances in Å follow each position.
Sites, in units of the cell vectors:
Ti (0.0000, 0.0000, 0.0000)  8 W 2.75
Re (0.5000, 0.5000, 0.0000)  8 W 2.75
W (0.0000, 0.0000, 0.5000)  8 W 2.75-2.76
W (0.0000, 0.5000, 0.0000)  4 W 2.75, 2 Re 2.75, 2 Ti 2.75
W (0.0000, 0.5000, 0.5000)  8 W 2.75-2.76
W (0.2491, 0.7509, 0.2487)  8 W 2.74-2.76
W (0.2491, 0.7509, 0.7513)  8 W 2.74-2.76
W (0.2501, 0.2501, 0.2499)  6 W 2.74-2.76, 1 Re 2.75, 1 Ti 2.75
W (0.2501, 0.2501, 0.7501)  6 W 2.74-2.76, 1 Re 2.75, 1 Ti 2.75
W (0.5000, 0.0000, 0.0000)  4 W 2.75, 2 Re 2.75, 2 Ti 2.75
W (0.5000, 0.0000, 0.5000)  8 W 2.75-2.76
W (0.5000, 0.5000, 0.5000)  8 W 2.75-2.76
W (0.7499, 0.7499, 0.2499)  6 W 2.74-2.76, 1 Re 2.75, 1 Ti 2.75
W (0.7499, 0.7499, 0.7501)  6 W 2.74-2.76, 1 Re 2.75, 1 Ti 2.75
W (0.7509, 0.2491, 0.2487)  8 W 2.74-2.76
W (0.7509, 0.2491, 0.7513)  8 W 2.74-2.76

---

no.,electronic total energy (eV per atom)
1,-12.350
2,-11.609
3,-10.829
4,-10.376
5,-10.752
6,-12.655